First-principles (PBE) data for TePbSe2 after structural relaxation, as listed in Alexandria via LeMat-Bulk.

a b c (Å): 4.3354 4.3354 20.8991
angles (deg): 90.00 90.00 120.00
Space group R3m (No. 160, hexagonal axes)
Symmetry-distinct sites (fractional):
1 Te 0.0000 0.0000 0.0000 x3
2 Pb 0.0000 0.0000 0.7638 x3
3 Se 0.0000 0.0000 0.2535 x3
4 Se 0.0000 0.0000 0.5091 x3

Calculated values
**Uncorrected formation energy**: 0.43 kcal/mol of atoms
**Energy**: -3.436 eV/atom
**Polymorph energy (0 for the lowest one)**: 0.246 eV per atom